No. 1
Compound: CeCuHg
Source: the Alexandria database
Functional: PBE
Structure: relaxed

```
6
Lattice="4.495 -1.708 0.000 4.495 1.708 0.000 -1.478 0.000 8.310" Properties=species:S:1:pos:R:3 pbc="T T T"
Ce 0.563 0.000 3.451
Ce 6.950 0.000 4.859
Cu 3.132 0.000 2.065
Cu 4.381 0.000 6.245
Hg 1.777 0.000 7.502
Hg 5.736 0.000 0.808
```

Symmetry   C2/m
Crystal system   monoclinic
Formation enthalpy at 0 K   0.121 eV per formula unit
Total DFT energy (no corrections)   -3.404 eV/atom


No. 2
Compound: CeHoCuHg
Source: the Alexandria database
Functional: PBE
Structure: relaxed

```
4
Lattice="0.000 3.657 3.657 3.657 0.000 3.657 3.657 3.657 0.000" Properties=species:S:1:pos:R:3 pbc="T T T"
Ce 0.000 0.000 0.000
Ho 3.657 3.657 3.657
Cu 5.485 5.485 5.485
Hg 1.828 1.828 1.828
```

Symmetry   F-43m
Crystal system   cubic
Formation enthalpy at 0 K   -0.817 eV per formula unit
Total DFT energy (no corrections)   -3.932 eV/atom


No. 3
Compound: CeInCuHg
Source: the Alexandria database
Functional: PBE
Structure: relaxed

```
4
Lattice="0.000 3.554 3.554 3.554 0.000 3.554 3.554 3.554 0.000" Properties=species:S:1:pos:R:3 pbc="T T T"
Ce 0.000 0.000 0.000
In 3.554 3.554 3.554
Cu 5.331 5.331 5.331
Hg 1.777 1.777 1.777
```

Symmetry   F-43m
Crystal system   cubic
Formation enthalpy at 0 K   -0.982 eV per formula unit
Total DFT energy (no corrections)   -3.513 eV/atom